{"formula": "TaNbRe2", "functional": "PBE-GGA", "state": "relaxed", "cell": [[3.203, 0.000, 0.000], [0.000, 3.203, 0.000], [0.000, 0.000, 6.407]], "species": ["Re", "Re", "Nb", "Ta"], "fractional_positions": [[0.000, 0.000, 0.251], [0.000, 0.000, 0.749], [0.500, 0.500, 0.000], [0.500, 0.500, 0.500]], "total_magnetization_mub_per_fu": 0.00, "n_ef_per_ev_atom": 0.362, "e_tot_ev_per_atom": -12.054, "space_group": "P4/mmm", "crystal_system": "tetragonal", "volume_a3_per_cell": 65.8, "formation_enthalpy_0k_ev_per_atom": -0.35}